1.
# Sr2YAg2Te4 | Alexandria via LeMat-Bulk | PBE-GGA | relaxed
data_Sr2YAg2Te4
_chemical_formula_sum 'Sr4 Y2 Ag4 Te8'
_cell_length_a 16.794
_cell_length_b 4.375
_cell_length_c 8.255
_cell_angle_alpha 90.00
_cell_angle_beta 115.35
_cell_angle_gamma 90.00
_space_group_name_H-M_alt 'C 1 2/m 1'
_space_group_IT_number 12
_space_group_name_Hall '-C 2y'
loop_
_atom_site_label
_atom_site_type_symbol
_atom_site_fract_x
_atom_site_fract_y
_atom_site_fract_z
Sr1 Sr 0.134 0.000 0.091
Y1 Y 0.000 0.000 0.500
Ag1 Ag 0.191 0.500 0.504
Te1 Te 0.012 0.500 0.240
Te2 Te 0.200 0.000 0.745
# uncorrected energy = -4.16 eV/atom

***

2.
# Sr4Y3AgTe8 | Alexandria via LeMat-Bulk | PBE-GGA | relaxed
data_Sr4Y3AgTe8
_chemical_formula_sum 'Sr12 Y9 Ag3 Te24'
_cell_length_a 9.0738
_cell_length_b 9.0738
_cell_length_c 22.3526
_cell_angle_alpha 90.00
_cell_angle_beta 90.00
_cell_angle_gamma 120.00
_space_group_name_H-M_alt 'R -3 m'
_space_group_IT_number 166
_space_group_name_Hall '-R 3 2"'
loop_
_atom_site_label
_atom_site_type_symbol
_atom_site_fract_x
_atom_site_fract_y
_atom_site_fract_z
Sr1 Sr 0.0000 0.0000 0.0000
Sr2 Sr 0.0000 0.5000 0.0000
Y1 Y 0.0000 0.5000 0.5000
Ag1 Ag 0.0000 0.0000 0.5000
Te1 Te 0.0000 0.0000 0.2438
Te2 Te 0.0001 0.5000 0.2426
# uncorrected energy = -4.77 eV/atom

***

no.,formation energy from raw total energies (eV per atom),magnetization (μB per cell)
1,-1.0348,0.000
2,-1.3932,0.000